Computed, not measured: crystalline TmLuThTi at its relaxed geometry at the PBE level of DFT.

Cell: 5.355 5.355 5.355 Å, 60.00 60.00 60.00°
Last column: magnetic moment on the atom in μB.
Atoms (fractional coordinates):
Th 0.000 0.000 0.000  -0.16
Tm 0.500 0.500 0.500  -0.11
Lu 0.750 0.750 0.750  0.05
Ti 0.250 0.250 0.250  -1.12

Values from the calculation:
Density of states at the Fermi level ... 1.66 states/eV per atom
Calculated formation energy ... 0.200 eV per atom

***

Computed, not measured: crystalline RbRe2Se4 at its relaxed geometry at the PBE level of DFT.

Cell: 6.790 6.628 8.321 Å, 111.31 111.96 94.92°
Atoms (fractional coordinates):
Se 0.795 0.041 0.613
Rb 0.247 0.747 0.494
Se 0.450 0.690 0.862
Re 0.661 0.373 0.764
Se 0.980 0.220 0.395
Se 0.818 0.572 0.613
Se 0.816 0.579 0.134
Se 0.318 0.555 0.134
Re 0.103 0.391 0.764
Re 0.617 0.310 0.234
Rb 0.000 0.000 0.000
Re 0.617 0.924 0.234
Se 0.412 0.173 0.862
Se 0.416 0.175 0.395

Values from the calculation:
Density of states at the Fermi level ... 0.40 states/eV per atom
Energy relative to the elements, uncorrected ... -34 kJ/mol of formula units

***

Computed, not measured: crystalline Ac2In2Hg7 at its relaxed geometry at the PBE level of DFT.

Cell: 6.074 7.331 7.331 Å, 96.63 79.62 79.62°
Atoms (fractional coordinates):
In 0.000 0.267 0.733
Hg 0.330 0.409 0.409
Hg 0.667 0.051 0.604
Hg 0.667 0.604 0.051
In 0.000 0.733 0.267
Hg 0.333 0.949 0.396
Hg 0.333 0.396 0.949
Hg 0.670 0.591 0.591
Hg 0.500 0.000 0.000
Ac 0.909 0.229 0.229
Ac 0.091 0.771 0.771

Values from the calculation:
Density of states at the Fermi level ... 0.40 states/eV per atom
Calculated formation energy ... -0.250 eV per atom

***

Computed, not measured: crystalline AsAuSe2 at its relaxed geometry at the PBE level of DFT.

Cell: 3.403 3.402 6.873 Å, 90.00 90.00 90.00°
Atoms (fractional coordinates):
Se 0.000 0.000 0.490
Au 0.500 0.500 0.750
As 0.500 0.500 0.250
Se 0.000 0.000 0.010

Values from the calculation:
Density of states at the Fermi level ... 0.50 states/eV per atom
Energy relative to the elements, uncorrected ... 165 kJ/mol of formula units

***

Computed, not measured: crystalline HfTlS4 at its relaxed geometry at the PBE level of DFT.

Cell: 6.586 8.420 7.829 Å, 120.43 112.38 94.26°
Atoms (fractional coordinates):
S 0.008 0.792 0.060
S 0.448 0.732 0.940
S 0.155 0.282 0.284
S 0.552 0.268 0.060
Hf 0.750 0.000 0.001
S 0.845 0.718 0.716
S 0.629 0.001 0.284
Tl 0.601 0.351 0.701
S 0.371 0.999 0.716
S 0.992 0.208 0.940
Hf 0.250 0.000 0.999
Tl 0.399 0.649 0.299

Values from the calculation:
Density of states at the Fermi level ... 0.48 states/eV per atom
Energy relative to the elements, uncorrected ... -394 kJ/mol of formula units

***

Computed, not measured: crystalline Ba3BiSb2Pd6 at its relaxed geometry at the PBE level of DFT.

Cell: 6.390 6.390 9.140 Å, 90.00 90.00 120.00°
Atoms (fractional coordinates):
Ba 0.333 0.667 0.650
Pd 0.183 0.365 0.294
Ba 0.000 0.000 0.000
Pd 0.365 0.183 0.706
Pd 0.817 0.635 0.706
Ba 0.667 0.333 0.350
Pd 0.635 0.817 0.294
Sb 0.667 0.333 0.934
Pd 0.183 0.817 0.294
Sb 0.333 0.667 0.066
Bi 0.000 0.000 0.500
Pd 0.817 0.183 0.706

Values from the calculation:
Density of states at the Fermi level ... 0.38 states/eV per atom
Energy relative to the elements, uncorrected ... -673 kJ/mol of formula units

***

Computed, not measured: crystalline TbPm2Pr6 at its relaxed geometry at the PBE level of DFT.

Cell: 3.692 10.239 10.239 Å, 55.85 90.00 90.00°
Atoms (fractional coordinates):
Pr 0.500 0.684 0.316
Pr 0.000 0.161 0.511
Pr 0.000 0.489 0.839
Pm 0.500 0.824 0.824
Pr 0.500 0.316 0.684
Pr 0.000 0.839 0.489
Pr 0.000 0.511 0.161
Pm 0.500 0.176 0.176
Tb 0.000 0.000 0.000

Values from the calculation:
Density of states at the Fermi level ... 1.48 states/eV per atom
Polymorph energy (0 for the lowest one) ... 0 meV per atom
Calculated formation energy ... 0.127 eV per atom

***

Computed, not measured: crystalline LiHoAg2I6 at its relaxed geometry at the PBE level of DFT.

Cell: 7.697 7.697 8.363 Å, 90.00 117.40 120.00°
Atoms (fractional coordinates):
I 0.134 0.386 0.230
I 0.858 0.747 0.230
I 0.859 0.609 0.731
Ag 0.484 0.241 0.711
I 0.496 0.886 0.731
Ag 0.511 0.755 0.251
Li 0.996 0.997 0.980
Ho 0.996 0.498 0.480
I 0.136 0.248 0.731
I 0.497 0.109 0.230

Values from the calculation:
Density of states at the Fermi level ... 0.00 states/eV per atom
Energy relative to the elements, uncorrected ... -814 kJ/mol of formula units

***

Computed, not measured: crystalline Cu2PRu at its relaxed geometry at the PBE level of DFT.

Cell: 8.213 8.213 8.213 Å, 19.13 19.13 19.13°
Last column: magnetic moment on the atom in μB.
Atoms (fractional coordinates):
P 0.500 0.500 0.500  -0.02
Ru 0.000 0.000 0.000  0.26
Cu 0.244 0.244 0.244  0.00
Cu 0.756 0.756 0.756  0.00

Values from the calculation:
Density of states at the Fermi level ... 0.82 states/eV per atom
Calculated formation energy ... 0.280 eV per atom

***

Computed, not measured: crystalline GaPdN3 at its relaxed geometry at the PBE level of DFT.

Cell: 3.977 3.977 3.977 Å, 90.00 90.00 90.00°
Last column: magnetic moment on the atom in μB.
Atoms (fractional coordinates):
Pd 0.000 0.000 0.000  0.25
N 0.000 0.000 0.500  0.49
N 0.500 0.000 0.000  0.86
Ga 0.500 0.500 0.500  -0.02
N 0.000 0.500 0.000  0.79

Values from the calculation:
Density of states at the Fermi level ... 0.58 states/eV per atom
Energy relative to the elements, uncorrected ... 913 kJ/mol of formula units

***

Computed, not measured: crystalline DyInRh at its relaxed geometry at the PBE level of DFT.

Cell: 3.404 3.404 6.003 Å, 106.47 106.47 90.00°
Atoms (fractional coordinates):
Rh 0.945 0.945 0.890
Dy 0.598 0.598 0.195
In 0.308 0.308 0.615

Values from the calculation:
Density of states at the Fermi level ... 0.75 states/eV per atom
Calculated formation energy ... -0.588 eV per atom

***

Computed, not measured: crystalline Ac2Co3NiGe4 at its relaxed geometry at the PBE level of DFT.

Cell: 4.282 4.282 9.903 Å, 90.00 90.00 90.00°
Last column: magnetic moment on the atom in μB.
Atoms (fractional coordinates):
Ge 0.000 0.000 0.000  0.01
Co 0.000 0.500 0.124  0.01
Ge 0.500 0.000 0.624  0.00
Ac 0.000 0.500 0.750  0.01
Ge 0.500 0.500 0.000  0.01
Ac 0.500 0.000 0.250  0.01
Ge 0.000 0.500 0.376  0.00
Co 0.500 0.000 0.876  0.01
Co 0.000 0.000 0.500  0.96
Ni 0.500 0.500 0.500  0.23

Values from the calculation:
Density of states at the Fermi level ... 0.90 states/eV per atom
Calculated formation energy ... -0.490 eV per atom